(1)
Compound: Tc2OsSe
Source: Alexandria
Functional: GGA-PBEsol
Structure: relaxed

The structure in CIF format:
```
data_Tc2OsSe
_symmetry_space_group_name_H-M 'P 1'
_symmetry_Int_Tables_number 1
_symmetry_space_group_name_Hall 'P 1'
_cell_length_a 2.709
_cell_length_b 2.709
_cell_length_c 9.281
_cell_angle_alpha 90.00
_cell_angle_beta 90.00
_cell_angle_gamma 117.68
loop_
_atom_site_label
_atom_site_type_symbol
_atom_site_fract_x
_atom_site_fract_y
_atom_site_fract_z
Os1 Os 0.000 0.000 0.518
Se1 Se 0.500 0.500 0.237
Tc1 Tc 0.000 0.000 0.991
Tc2 Tc 0.500 0.500 0.754
```

- Space group: Cmm2 (35)
- Total energy: -36.1 eV per formula unit

(2)
Compound: KSiTe2
Source: Alexandria
Functional: GGA-PBEsol
Structure: relaxed

The structure in CIF format:
```
data_KSiTe2
_symmetry_space_group_name_H-M 'P 1'
_symmetry_Int_Tables_number 1
_symmetry_space_group_name_Hall 'P 1'
_cell_length_a 5.067
_cell_length_b 5.518
_cell_length_c 5.067
_cell_angle_alpha 62.67
_cell_angle_beta 90.00
_cell_angle_gamma 117.33
loop_
_atom_site_label
_atom_site_type_symbol
_atom_site_fract_x
_atom_site_fract_y
_atom_site_fract_z
K1 K 0.500 0.000 0.500
Si1 Si 0.000 0.000 0.000
Te1 Te 0.250 0.500 0.250
Te2 Te 0.750 0.500 0.750
```

- Space group: I4/mmm (139)
- Total energy: -13.7 eV per formula unit

(3)
Compound: K2CaTc
Source: Alexandria
Functional: GGA-PBEsol
Structure: relaxed

The structure in CIF format:
```
data_K2CaTc
_symmetry_space_group_name_H-M 'P 1'
_symmetry_Int_Tables_number 1
_symmetry_space_group_name_Hall 'P 1'
_cell_length_a 4.653
_cell_length_b 4.653
_cell_length_c 6.199
_cell_angle_alpha 90.00
_cell_angle_beta 90.00
_cell_angle_gamma 90.00
loop_
_atom_site_label
_atom_site_type_symbol
_atom_site_fract_x
_atom_site_fract_y
_atom_site_fract_z
Ca1 Ca 0.000 0.000 0.500
K1 K 0.000 0.500 0.000
K2 K 0.500 0.000 0.000
Tc1 Tc 0.500 0.500 0.500
```

- Calculated formation energy: 1227 meV per atom
- Excess energy over the best structure of this formula in the dataset: 0 meV/atom
- Space group: P4/mmm (123)

(4)
Compound: LiMn3O6
Source: Alexandria
Functional: GGA-PBEsol
Structure: relaxed

The structure in CIF format:
```
data_LiMn3O6
_symmetry_space_group_name_H-M 'P 1'
_symmetry_Int_Tables_number 1
_symmetry_space_group_name_Hall 'P 1'
_cell_length_a 2.796
_cell_length_b 4.815
_cell_length_c 6.766
_cell_angle_alpha 94.19
_cell_angle_beta 101.93
_cell_angle_gamma 90.00
loop_
_atom_site_label
_atom_site_type_symbol
_atom_site_fract_x
_atom_site_fract_y
_atom_site_fract_z
Li1 Li 0.199 0.064 0.398
Mn1 Mn 0.998 0.008 0.996
Mn2 Mn 0.656 0.543 0.312
Mn3 Mn 0.348 0.475 0.695
O1 O 0.425 0.158 0.850
O2 O 0.580 0.862 0.159
O3 O 0.916 0.663 0.832
O4 O 0.092 0.338 0.184
O5 O 0.764 0.293 0.528
O6 O 0.239 0.711 0.477
```

- Space group: Cm (8)
- Total energy: -80.2 eV per formula unit

(5)
Compound: Tc2HgPb
Source: Alexandria
Functional: GGA-PBEsol
Structure: relaxed

The structure in CIF format:
```
data_Tc2HgPb
_symmetry_space_group_name_H-M 'P 1'
_symmetry_Int_Tables_number 1
_symmetry_space_group_name_Hall 'P 1'
_cell_length_a 3.007
_cell_length_b 5.168
_cell_length_c 5.452
_cell_angle_alpha 117.02
_cell_angle_beta 104.01
_cell_angle_gamma 94.07
loop_
_atom_site_label
_atom_site_type_symbol
_atom_site_fract_x
_atom_site_fract_y
_atom_site_fract_z
Hg1 Hg 0.500 0.000 0.000
Pb1 Pb 0.000 0.500 0.000
Tc1 Tc 0.000 0.000 0.500
Tc2 Tc 0.500 0.500 0.500
```

- Calculated formation energy: 851 meV per atom
- Excess energy over the best structure of this formula in the dataset: 417 meV/atom
- Space group: C2/m (12)

(6)
Compound: Li3RhSe
Source: Alexandria
Functional: GGA-PBEsol
Structure: relaxed

The structure in CIF format:
```
data_Li3RhSe
_symmetry_space_group_name_H-M 'P 1'
_symmetry_Int_Tables_number 1
_symmetry_space_group_name_Hall 'P 1'
_cell_length_a 4.469
_cell_length_b 4.469
_cell_length_c 4.469
_cell_angle_alpha 90.00
_cell_angle_beta 90.00
_cell_angle_gamma 90.00
loop_
_atom_site_label
_atom_site_type_symbol
_atom_site_fract_x
_atom_site_fract_y
_atom_site_fract_z
Rh1 Rh 0.000 0.000 0.000
Se1 Se 0.500 0.500 0.500
Li1 Li 0.000 0.500 0.000
Li2 Li 0.000 0.000 0.500
Li3 Li 0.500 0.000 0.000
```

- Space group: Pm-3m (221)
- Total energy: -16.5 eV per formula unit

(7)
Compound: SiRh2
Source: Alexandria
Functional: GGA-PBEsol
Structure: relaxed

The structure in CIF format:
```
data_SiRh2
_symmetry_space_group_name_H-M 'P 1'
_symmetry_Int_Tables_number 1
_symmetry_space_group_name_Hall 'P 1'
_cell_length_a 2.677
_cell_length_b 4.212
_cell_length_c 4.212
_cell_angle_alpha 120.00
_cell_angle_beta 90.00
_cell_angle_gamma 90.00
loop_
_atom_site_label
_atom_site_type_symbol
_atom_site_fract_x
_atom_site_fract_y
_atom_site_fract_z
Rh1 Rh 0.500 0.667 0.333
Rh2 Rh 0.500 0.333 0.667
Si1 Si 0.000 0.000 0.000
```

- Space group: P6/mmm (191)
- Total energy: -21.9 eV per formula unit

(8)
Compound: BaSr2Cu
Source: Alexandria
Functional: GGA-PBEsol
Structure: relaxed

The structure in CIF format:
```
data_BaSr2Cu
_symmetry_space_group_name_H-M 'P 1'
_symmetry_Int_Tables_number 1
_symmetry_space_group_name_Hall 'P 1'
_cell_length_a 5.114
_cell_length_b 5.114
_cell_length_c 5.874
_cell_angle_alpha 90.00
_cell_angle_beta 90.00
_cell_angle_gamma 90.00
loop_
_atom_site_label
_atom_site_type_symbol
_atom_site_fract_x
_atom_site_fract_y
_atom_site_fract_z
Ba1 Ba 0.500 0.500 0.500
Cu1 Cu 0.000 0.000 0.500
Sr1 Sr 0.000 0.500 0.000
Sr2 Sr 0.500 0.000 0.000
```

- Calculated formation energy: 307 meV per atom
- Excess energy over the best structure of this formula in the dataset: 246 meV/atom
- Space group: P4/mmm (123)

(9)
Compound: YZr2Os
Source: Alexandria
Functional: GGA-PBEsol
Structure: relaxed

The structure in CIF format:
```
data_YZr2Os
_symmetry_space_group_name_H-M 'P 1'
_symmetry_Int_Tables_number 1
_symmetry_space_group_name_Hall 'P 1'
_cell_length_a 4.804
_cell_length_b 4.804
_cell_length_c 4.804
_cell_angle_alpha 60.00
_cell_angle_beta 60.00
_cell_angle_gamma 60.00
loop_
_atom_site_label
_atom_site_type_symbol
_atom_site_fract_x
_atom_site_fract_y
_atom_site_fract_z
Os1 Os 0.000 0.000 0.000
Y1 Y 0.500 0.500 0.500
Zr1 Zr 0.250 0.250 0.250
Zr2 Zr 0.750 0.750 0.750
```

- Calculated formation energy: -25 meV per atom
- Excess energy over the best structure of this formula in the dataset: 190 meV/atom
- Space group: Fm-3m (225)

(10)
Compound: TcPSe3
Source: Alexandria
Functional: GGA-PBEsol
Structure: relaxed

The structure in CIF format:
```
data_TcPSe3
_symmetry_space_group_name_H-M 'P 1'
_symmetry_Int_Tables_number 1
_symmetry_space_group_name_Hall 'P 1'
_cell_length_a 4.736
_cell_length_b 4.736
_cell_length_c 4.736
_cell_angle_alpha 90.00
_cell_angle_beta 90.00
_cell_angle_gamma 90.00
loop_
_atom_site_label
_atom_site_type_symbol
_atom_site_fract_x
_atom_site_fract_y
_atom_site_fract_z
P1 P 0.000 0.000 0.000
Tc1 Tc 0.500 0.500 0.500
Se1 Se 0.000 0.500 0.000
Se2 Se 0.000 0.000 0.500
Se3 Se 0.500 0.000 0.000
```

- Space group: Pm-3m (221)
- Total energy: -23.6 eV per formula unit

(11)
Compound: Ca3NdMn2O8
Source: Alexandria
Functional: GGA-PBEsol
Structure: relaxed

The structure in CIF format:
```
data_Ca3NdMn2O8
_symmetry_space_group_name_H-M 'P 1'
_symmetry_Int_Tables_number 1
_symmetry_space_group_name_Hall 'P 1'
_cell_length_a 3.758
_cell_length_b 3.758
_cell_length_c 11.754
_cell_angle_alpha 90.00
_cell_angle_beta 90.00
_cell_angle_gamma 90.00
loop_
_atom_site_label
_atom_site_type_symbol
_atom_site_fract_x
_atom_site_fract_y
_atom_site_fract_z
Ca1 Ca 0.500 0.500 0.860
Ca2 Ca 0.500 0.500 0.134
Ca3 Ca 0.000 0.000 0.649
Nd1 Nd 0.000 0.000 0.357
Mn1 Mn 0.000 0.000 0.997
Mn2 Mn 0.500 0.500 0.507
O1 O 0.000 0.500 0.001
O2 O 0.500 0.000 0.497
O3 O 0.500 0.000 0.001
O4 O 0.000 0.500 0.497
O5 O 0.500 0.500 0.333
O6 O 0.000 0.000 0.836
O7 O 0.000 0.000 0.166
O8 O 0.500 0.500 0.665
```

- Space group: P4mm (99)
- Total energy: -109.8 eV per formula unit

(12)
Compound: CoSnAs3
Source: Alexandria
Functional: GGA-PBEsol
Structure: relaxed

The structure in CIF format:
```
data_CoSnAs3
_symmetry_space_group_name_H-M 'P 1'
_symmetry_Int_Tables_number 1
_symmetry_space_group_name_Hall 'P 1'
_cell_length_a 4.592
_cell_length_b 4.592
_cell_length_c 4.592
_cell_angle_alpha 90.00
_cell_angle_beta 90.00
_cell_angle_gamma 90.00
loop_
_atom_site_label
_atom_site_type_symbol
_atom_site_fract_x
_atom_site_fract_y
_atom_site_fract_z
As1 As 0.000 0.500 0.000
As2 As 0.000 0.000 0.500
As3 As 0.500 0.000 0.000
Co1 Co 0.000 0.000 0.000
Sn1 Sn 0.500 0.500 0.500
```

- Calculated formation energy: 313 meV per atom
- Space group: Pm-3m (221)